[1]
DFT (PBE) results for a relaxed AgSnOs2Pt crystal.

a = 4.904 Å, b = 4.903 Å, c = 4.904 Å
α = 90.00°, β = 90.00°, γ = 90.00°
Sites, in units of the cell vectors:
Ag: 0.500 0.500 0.500
Sn: 0.000 0.000 0.000
Os: 0.000 0.000 0.500
Os: 0.500 0.000 0.000
Pt: 0.000 0.500 0.000

energy of formation from the pure elements = 2.118 eV/atom
space group = P4/mmm, No. 123

[2]
DFT (PBE) results for a relaxed Pr5Y3Tl2 crystal.

a = 6.661 Å, b = 10.760 Å, c = 10.760 Å
α = 91.61°, β = 71.97°, γ = 71.97°
Sites, in units of the cell vectors:
Y: 0.389 0.332 0.889
Tl: 0.878 0.264 0.981
Tl: 0.378 0.981 0.264
Pr: 0.000 0.750 0.750
Y: 0.750 0.000 0.000
Pr: 0.880 0.456 0.784
Pr: 0.750 0.500 0.500
Pr: 0.620 0.216 0.544
Y: 0.250 0.000 0.000
Pr: 0.250 0.500 0.500
Y: 0.111 0.111 0.668
Tl: 0.122 0.736 0.019
Y: 0.889 0.889 0.332
Tl: 0.622 0.019 0.736
Pr: 0.380 0.784 0.456
Y: 0.611 0.668 0.111
Pr: 0.500 0.750 0.750
Pr: 0.500 0.250 0.250
Pr: 0.000 0.250 0.250
Pr: 0.120 0.544 0.216

energy of formation from the pure elements = 0.132 eV/atom
space group = Ibam, No. 72

[3]
DFT (PBE) results for a relaxed ZnPAu2 crystal.

a = 6.199 Å, b = 6.199 Å, c = 3.798 Å
α = 72.60°, β = 72.60°, γ = 32.29°
Sites, in units of the cell vectors:
Au: 0.279 0.279 0.719
P: 0.494 0.494 0.509
Au: 0.014 0.014 0.989
Zn: 0.713 0.713 0.282

E above lowest polymorph = 0.030 eV per atom
energy of formation from the pure elements = 0.102 eV/atom
space group = Cm, No. 8

> Which of these has the lowest energy of formation from the pure elements?

ZnPAu2